# 1
Entry from Alexandria via LeMat-Bulk: a relaxed RbBiO crystal (GGA-PBE).

```
12
Lattice="3.5455 0.0000 0.0000 0.0000 8.5818 0.0000 0.0000 0.0000 12.0236" Properties=species:S:1:pos:R:3 pbc="T T T"
O 0.8864 2.5546 5.8707
O 2.6591 1.7363 11.8825
O 0.8864 6.8455 0.1411
O 2.6591 6.0272 6.1529
Bi 0.8864 3.0558 0.5657
Bi 2.6591 5.5260 11.4579
Bi 0.8864 7.3467 5.4461
Bi 2.6591 1.2351 6.5775
Rb 2.6591 8.2747 1.8366
Rb 0.8864 4.5980 7.8484
Rb 2.6591 3.9838 4.1752
Rb 0.8864 0.3071 10.1870
```

Properties
Symmetry   No. 62
Size of the total moment   0.00 μB/cell
Total DFT energy (no corrections)   -4.076 eV/atom

---

# 2
Entry from Alexandria via LeMat-Bulk: a relaxed RbBiO3 crystal (GGA-PBE).

```
20
Lattice="24.1044 0.0000 -2.0456 0.0000 5.7855 0.0000 -8.5548 0.0000 3.3037" Properties=species:S:1:pos:R:3 pbc="T T T"
Bi -0.7584 4.4072 0.5463
Bi 8.5332 1.5145 0.0828
Bi 16.3080 1.3782 0.7119
Bi 7.0163 4.2710 1.1753
O 6.6124 2.3935 0.1029
O 14.3872 0.4993 0.7320
O -5.8276 1.7828 2.7884
O 15.3624 3.2724 -0.0729
O 1.1623 5.2862 0.5261
O 0.1871 2.5130 1.3310
O -0.9671 5.4058 2.6018
O 10.5020 1.1099 0.1137
O 8.9371 3.3920 1.1552
O 16.5167 0.3797 -1.3437
O 21.3772 4.0026 -1.5302
O 5.0476 4.6756 1.1444
Rb 11.1202 4.2500 -0.5266
Rb -5.2094 4.4281 2.1481
Rb 20.7590 1.3573 -0.8900
Rb 4.4294 1.5354 1.7847
```

Properties
DOS(E_F)   0.00 states/eV/atom
Symmetry   No. 14
Size of the total moment   0.00 μB/cell
Total DFT energy (no corrections)   -5.034 eV/atom

---

# 3
Entry from Alexandria via LeMat-Bulk: a relaxed RbBi4O6 crystal (GGA-PBE).

```
11
Lattice="6.8630 -0.4909 -0.7220 -3.6085 5.8585 0.7220 -3.6085 -1.4825 5.7136" Properties=species:S:1:pos:R:3 pbc="T T T"
O 3.7972 0.2323 0.3416
O 1.6273 2.6838 0.0000
O -1.0517 1.7735 2.6082
O 1.6273 -0.9867 2.4958
O -5.1581 1.9919 5.3720
O -5.1581 4.2634 3.8274
Bi -2.6871 2.9491 1.4987
Bi -2.6871 0.3095 3.2936
Bi 1.1629 1.6455 2.4200
Bi -3.3596 3.3569 4.9368
Rb 0.0000 0.0000 0.0000
```

Properties
DOS(E_F)   0.20 states/eV/atom
Symmetry   No. 121
Size of the total moment   0.00 μB/cell
Total DFT energy (no corrections)   -5.088 eV/atom